# FeTcBiO6, relaxed, DFT GGA+U
data_FeTcBiO6
_cell_length_a 4.856
_cell_length_b 4.856
_cell_length_c 9.675
_cell_angle_alpha 90.00
_cell_angle_beta 90.00
_cell_angle_gamma 90.00
_space_group_name_H-M_alt 'P 1'
_space_group_IT_number 1
_space_group_name_Hall 'P 1'
loop_
_atom_site_label
_atom_site_type_symbol
_atom_site_fract_x
_atom_site_fract_y
_atom_site_fract_z
O1 O 0.799 0.201 0.808
O2 O 0.201 0.799 0.808
O3 O 0.715 0.715 0.683
Bi1 Bi 0.500 0.500 0.504
O4 O 0.827 0.173 0.505
O5 O 0.215 0.785 0.183
Fe1 Fe 0.000 0.000 0.336
O6 O 0.173 0.827 0.505
O7 O 0.299 0.299 0.308
Bi2 Bi 0.000 0.000 0.004
Tc1 Tc 0.000 0.000 0.669
O8 O 0.785 0.215 0.183
O9 O 0.701 0.701 0.308
O10 O 0.285 0.285 0.683
O11 O 0.673 0.673 0.005
Tc2 Tc 0.500 0.500 0.169
O12 O 0.327 0.327 0.005
Fe2 Fe 0.500 0.500 0.836
# Calculated volume in Å³/atom: 12.7
# Total magnetization in μB/f.u.: 5.957
# Raw total energy in eV for the cell shown: -122.0